Density functional theory data (PBE) for crystalline K2MgCdAs2 at its relaxed geometry.

Summary:
The electronic total energy is -17.36 eV for the cell shown. The crystal system is tetragonal.

abc: 4.5426 4.5426 7.9539
angles: 90.00 90.00 90.00
Fractional positions:
As  0.5000  0.0000  0.2021
As  0.0000  0.5000  0.7979
Cd  0.0000  0.0000  0.0000
K  0.0000  0.5000  0.3555
K  0.5000  0.0000  0.6445
Mg  0.5000  0.5000  0.0000